Entry 1:
Below is an optimized crystal structure of KLi2OsF8, with properties calculated at the PBE level.

Its density is 3.78 Mg/m³. As for the density of states at the Fermi level: 0.519 states/eV per atom. As for the energy: -4.827 eV/atom. Its crystal system is trigonal.

The space group is P-3 (No. 147) and the conventional cell measures 5.0695, 5.0695 and 7.8067 Å, with angles of 90.00, 90.00 and 120.00 degrees. Symmetry generates all atoms from K at (0.0000, 0.0000, 0.0000), Li at (0.3333, 0.6667, 0.7897), Os at (0.0000, 0.0000, 0.5000), F at (0.0343, 0.3181, 0.6480) and F at (0.3333, 0.6667, 0.0138).



Entry 2:
Below is an optimized crystal structure of KLi2PaF8, with properties calculated at the PBE level.

Its density is 3.34 Mg/m³. As for the energy: -5.621 eV/atom. Its crystal system is trigonal.

The space group is R-3m (No. 166, hexagonal axes) and the conventional cell measures 6.0452, 6.0452 and 20.5215 Å, with angles of 90.00, 90.00 and 120.00 degrees. Symmetry generates all atoms from K at (0.0000, 0.0000, 0.0000), Li at (0.0000, 0.0000, 0.1484), Pa at (0.0000, 0.0000, 0.5000), F at (0.0000, 0.0000, 0.2313) and F at (0.0016, 0.5008, 0.2264).



Entry 3:
Below is an optimized crystal structure of KLiPaF6, with properties calculated at the PBE level.

Its density is 4.34 Mg/m³. As for the energy: -5.973 eV/atom. Its crystal system is trigonal.

The space group is P-31c (No. 163) and the conventional cell measures 6.1850, 6.1850 and 9.0350 Å, with angles of 90.00, 90.00 and 120.00 degrees. Symmetry generates all atoms from K at (0.3333, 0.6667, 0.2500), Li at (0.0000, 0.0000, 0.0000), Pa at (0.3333, 0.6667, 0.7500) and F at (0.0551, 0.3479, 0.6171).



Entry 4:
Below is an optimized crystal structure of K2Li2PbF7, with properties calculated at the PBE level.

Its density is 4.49 Mg/m³. As for the density of states at the Fermi level: 0.773 states/eV per atom. As for the energy: -4.416 eV/atom. Its crystal system is tetragonal.

The space group is I4/mmm (No. 139) and the conventional cell measures 3.876, 3.876 and 21.279 Å, with angles of 90.00, 90.00 and 90.00 degrees. Symmetry generates all atoms from K at (0.000, 0.000, 0.186), Li at (0.000, 0.000, 0.403), Pb at (0.000, 0.000, 0.000), F at (0.000, 0.000, 0.311), F at (0.000, 0.000, 0.500) and F at (0.000, 0.500, 0.079).